Record 1
Material: Sr2Tl2P
Method: DFT, PBE
State: relaxed

Cell and atoms, written as CIF:
```
data_Sr2Tl2P
_chemical_formula_sum 'Sr2 Tl2 P1'
_cell_length_a 10.1558
_cell_length_b 10.1558
_cell_length_c 10.1558
_cell_angle_alpha 156.51
_cell_angle_beta 156.51
_cell_angle_gamma 33.46
_symmetry_space_group_name_H-M 'P 1'
_symmetry_Int_Tables_number 1
loop_
_symmetry_equiv_pos_as_xyz
'x,y,z'
loop_
_atom_site_label
_atom_site_type_symbol
_atom_site_fract_x
_atom_site_fract_y
_atom_site_fract_z
Tl1 Tl 0.2500 0.7500 0.5000
Sr1 Sr 0.5824 0.5824 0.0000
P1 P 0.0000 0.0000 0.0000
Sr2 Sr 0.4176 0.4176 0.0000
Tl2 Tl 0.7500 0.2500 0.5000
```

Values from the calculation:
- Calculated total energy: -15.3 eV for the cell shown
- DFT formation energy: -0.3542 eV/atom

***

Record 2
Material: SrTl2P
Method: DFT, PBE
State: relaxed

Cell and atoms, written as CIF:
```
data_SrTl2P
_chemical_formula_sum 'Sr1 Tl2 P1'
_cell_length_a 5.4235
_cell_length_b 5.4235
_cell_length_c 5.4235
_cell_angle_alpha 60.00
_cell_angle_beta 60.00
_cell_angle_gamma 60.00
_symmetry_space_group_name_H-M 'P 1'
_symmetry_Int_Tables_number 1
loop_
_symmetry_equiv_pos_as_xyz
'x,y,z'
loop_
_atom_site_label
_atom_site_type_symbol
_atom_site_fract_x
_atom_site_fract_y
_atom_site_fract_z
P1 P 0.0000 0.0000 0.0000
Tl1 Tl 0.2500 0.2500 0.2500
Sr1 Sr 0.5000 0.5000 0.5000
Tl2 Tl 0.7500 0.7500 0.7500
```

Values from the calculation:
- Calculated total energy: -12.0 eV for the cell shown
- DFT formation energy: -0.0401 eV/atom

***

Record 3
Material: Sr3Tl2P
Method: DFT, PBE
State: relaxed

Cell and atoms, written as CIF:
```
data_Sr3Tl2P
_chemical_formula_sum 'Sr6 Tl4 P2'
_cell_length_a 7.9734
_cell_length_b 7.9734
_cell_length_c 7.9766
_cell_angle_alpha 90.00
_cell_angle_beta 90.00
_cell_angle_gamma 120.00
_symmetry_space_group_name_H-M 'P 1'
_symmetry_Int_Tables_number 1
loop_
_symmetry_equiv_pos_as_xyz
'x,y,z'
loop_
_atom_site_label
_atom_site_type_symbol
_atom_site_fract_x
_atom_site_fract_y
_atom_site_fract_z
Tl1 Tl 0.6667 0.3333 0.0701
Tl2 Tl 0.6667 0.3333 0.4299
Sr1 Sr 0.6814 0.8407 0.2500
P1 P 0.0000 0.0000 0.0000
Sr2 Sr 0.1593 0.8407 0.2500
Sr3 Sr 0.8407 0.6814 0.7500
Sr4 Sr 0.3186 0.1593 0.7500
Sr5 Sr 0.8407 0.1593 0.7500
Tl3 Tl 0.3333 0.6667 0.9299
P2 P 0.0000 0.0000 0.5000
Sr6 Sr 0.1593 0.3186 0.2500
Tl4 Tl 0.3333 0.6667 0.5701
```

Values from the calculation:
- Calculated total energy: -37.0 eV for the cell shown
- DFT formation energy: -0.5516 eV/atom

***

Record 4
Material: SrTlP2
Method: DFT, PBE
State: relaxed

Cell and atoms, written as CIF:
```
data_SrTlP2
_chemical_formula_sum 'Sr1 Tl1 P2'
_cell_length_a 4.2279
_cell_length_b 4.2273
_cell_length_c 5.9841
_cell_angle_alpha 90.00
_cell_angle_beta 90.00
_cell_angle_gamma 90.00
_symmetry_space_group_name_H-M 'P 1'
_symmetry_Int_Tables_number 1
loop_
_symmetry_equiv_pos_as_xyz
'x,y,z'
loop_
_atom_site_label
_atom_site_type_symbol
_atom_site_fract_x
_atom_site_fract_y
_atom_site_fract_z
Sr1 Sr 0.0000 0.0000 0.3760
Tl1 Tl 0.5000 0.5000 0.8739
P1 P 0.5000 0.5000 0.3742
P2 P 0.0000 0.0000 0.8760
```

Values from the calculation:
- Calculated total energy: -15.2 eV for the cell shown
- DFT formation energy: -0.0759 eV/atom

***

Record 5
Material: SrTl2P
Method: DFT, PBE
State: relaxed

Cell and atoms, written as CIF:
```
data_SrTl2P
_chemical_formula_sum 'Sr1 Tl2 P1'
_cell_length_a 4.8871
_cell_length_b 4.8871
_cell_length_c 5.0710
_cell_angle_alpha 90.00
_cell_angle_beta 90.00
_cell_angle_gamma 101.48
_symmetry_space_group_name_H-M 'P 1'
_symmetry_Int_Tables_number 1
loop_
_symmetry_equiv_pos_as_xyz
'x,y,z'
loop_
_atom_site_label
_atom_site_type_symbol
_atom_site_fract_x
_atom_site_fract_y
_atom_site_fract_z
Tl1 Tl 0.2952 0.7048 0.0000
Sr1 Sr 0.0000 0.0000 0.5000
P1 P 0.5000 0.5000 0.5000
Tl2 Tl 0.7048 0.2952 0.0000
```

Values from the calculation:
- Calculated total energy: -13.0 eV for the cell shown
- DFT formation energy: -0.2984 eV/atom

***

Record 6
Material: SrTl2P
Method: DFT, PBE
State: relaxed

Cell and atoms, written as CIF:
```
data_SrTl2P
_chemical_formula_sum 'Sr1 Tl2 P1'
_cell_length_a 6.8966
_cell_length_b 6.8789
_cell_length_c 4.4166
_cell_angle_alpha 71.52
_cell_angle_beta 71.08
_cell_angle_gamma 37.40
_symmetry_space_group_name_H-M 'P 1'
_symmetry_Int_Tables_number 1
loop_
_symmetry_equiv_pos_as_xyz
'x,y,z'
loop_
_atom_site_label
_atom_site_type_symbol
_atom_site_fract_x
_atom_site_fract_y
_atom_site_fract_z
P1 P 0.0000 0.0000 0.0000
Tl1 Tl 0.0000 0.5000 0.0000
Sr1 Sr 0.5000 0.5000 0.5000
Tl2 Tl 0.5000 0.0000 0.5000
```

Values from the calculation:
- Calculated total energy: -12.8 eV for the cell shown
- DFT formation energy: -0.2317 eV/atom

***

Record 7
Material: SrTl2P
Method: DFT, PBE
State: relaxed

Cell and atoms, written as CIF:
```
data_SrTl2P
_chemical_formula_sum 'Sr1 Tl2 P1'
_cell_length_a 3.9330
_cell_length_b 3.9330
_cell_length_c 7.0931
_cell_angle_alpha 90.00
_cell_angle_beta 90.00
_cell_angle_gamma 90.00
_symmetry_space_group_name_H-M 'P 1'
_symmetry_Int_Tables_number 1
loop_
_symmetry_equiv_pos_as_xyz
'x,y,z'
loop_
_atom_site_label
_atom_site_type_symbol
_atom_site_fract_x
_atom_site_fract_y
_atom_site_fract_z
Sr1 Sr 0.5000 0.5000 0.5000
Tl1 Tl 0.0000 0.0000 0.2062
Tl2 Tl 0.0000 0.0000 0.7938
P1 P 0.5000 0.5000 0.0000
```

Values from the calculation:
- Calculated total energy: -12.1 eV for the cell shown
- DFT formation energy: -0.0687 eV/atom

***

Record 8
Material: SrTl2P4
Method: DFT, PBE
State: relaxed

Cell and atoms, written as CIF:
```
data_SrTl2P4
_chemical_formula_sum 'Sr1 Tl2 P4'
_cell_length_a 5.3925
_cell_length_b 5.3925
_cell_length_c 8.4124
_cell_angle_alpha 71.31
_cell_angle_beta 71.31
_cell_angle_gamma 90.00
_symmetry_space_group_name_H-M 'P 1'
_symmetry_Int_Tables_number 1
loop_
_symmetry_equiv_pos_as_xyz
'x,y,z'
loop_
_atom_site_label
_atom_site_type_symbol
_atom_site_fract_x
_atom_site_fract_y
_atom_site_fract_z
P1 P 0.2300 0.2300 0.5400
P2 P 0.7700 0.7700 0.4600
Tl1 Tl 0.6025 0.6025 0.7950
Tl2 Tl 0.3975 0.3975 0.2050
P3 P 0.5000 0.0000 0.0000
P4 P 0.0000 0.5000 0.0000
Sr1 Sr 0.0000 0.0000 0.0000
```

Values from the calculation:
- Calculated total energy: -22.4 eV for the cell shown
- DFT formation energy: 0.8123 eV/atom

***

Record 9
Material: SrTlP2
Method: DFT, PBE
State: relaxed

Cell and atoms, written as CIF:
```
data_SrTlP2
_chemical_formula_sum 'Sr1 Tl1 P2'
_cell_length_a 4.3096
_cell_length_b 3.8987
_cell_length_c 6.6434
_cell_angle_alpha 90.00
_cell_angle_beta 90.00
_cell_angle_gamma 90.00
_symmetry_space_group_name_H-M 'P 1'
_symmetry_Int_Tables_number 1
loop_
_symmetry_equiv_pos_as_xyz
'x,y,z'
loop_
_atom_site_label
_atom_site_type_symbol
_atom_site_fract_x
_atom_site_fract_y
_atom_site_fract_z
P1 P 0.0000 0.0000 0.4137
Tl1 Tl 0.5000 0.5000 0.7500
Sr1 Sr 0.5000 0.5000 0.2500
P2 P 0.0000 0.0000 0.0863
```

Values from the calculation:
- Calculated total energy: -16.4 eV for the cell shown
- DFT formation energy: -0.3896 eV/atom

***

Record 10
Material: SrY2TlP
Method: DFT, PBE
State: relaxed

Cell and atoms, written as CIF:
```
data_SrY2TlP
_chemical_formula_sum 'Sr1 Y2 Tl1 P1'
_cell_length_a 5.7952
_cell_length_b 5.7952
_cell_length_c 5.3896
_cell_angle_alpha 90.00
_cell_angle_beta 90.00
_cell_angle_gamma 90.00
_symmetry_space_group_name_H-M 'P 1'
_symmetry_Int_Tables_number 1
loop_
_symmetry_equiv_pos_as_xyz
'x,y,z'
loop_
_atom_site_label
_atom_site_type_symbol
_atom_site_fract_x
_atom_site_fract_y
_atom_site_fract_z
P1 P 0.0000 0.0000 0.5000
Y1 Y 0.5000 0.0000 0.0000
Tl1 Tl 0.5000 0.5000 0.5000
Y2 Y 0.0000 0.5000 0.0000
Sr1 Sr 0.0000 0.0000 0.0000
```

Values from the calculation:
- Calculated total energy: -17.8 eV for the cell shown
- DFT formation energy: 0.9209 eV/atom